Entry 1:
# MnBeGeP2 | the Alexandria database | PBE-GGA | optimized geometry
# **VASP energy**: -25.18 eV per formula unit
# **N(E_F)**: 3.08 states/eV per cell
# **Space group**: P4/mmm (123)
# **DFT formation energy**: 0.630 eV per atom
# **Magnetization**: 3.56 μB/f.u.
data_MnBeGeP2
_symmetry_space_group_name_H-M 'P 1'
_symmetry_Int_Tables_number 1
_symmetry_space_group_name_Hall 'P 1'
_cell_length_a 4.175
_cell_length_b 4.175
_cell_length_c 4.513
_cell_angle_alpha 90.00
_cell_angle_beta 90.00
_cell_angle_gamma 90.00
loop_
_atom_site_label
_atom_site_type_symbol
_atom_site_fract_x
_atom_site_fract_y
_atom_site_fract_z
_atom_site_occupancy
Mn1 Mn 0.000 0.000 0.000 1
Be1 Be 0.000 0.000 0.500 1
Ge1 Ge 0.500 0.500 0.000 1
P1 P 0.000 0.500 0.500 1
P2 P 0.500 0.000 0.500 1

***

Entry 2:
# PmMnBeGe2 | the Alexandria database | PBE-GGA | optimized geometry
# **VASP energy**: -29.00 eV per formula unit
# **N(E_F)**: 2.26 states/eV per cell
# **Space group**: I-4m2 (119)
# **DFT formation energy**: -0.424 eV per atom
# **Magnetization**: 2.99 μB/f.u.
data_PmMnBeGe2
_symmetry_space_group_name_H-M 'P 1'
_symmetry_Int_Tables_number 1
_symmetry_space_group_name_Hall 'P 1'
_cell_length_a 6.056
_cell_length_b 6.056
_cell_length_c 6.056
_cell_angle_alpha 141.32
_cell_angle_beta 141.32
_cell_angle_gamma 55.86
loop_
_atom_site_label
_atom_site_type_symbol
_atom_site_fract_x
_atom_site_fract_y
_atom_site_fract_z
_atom_site_occupancy
Pm1 Pm 0.000 0.000 0.000 1
Mn1 Mn 0.250 0.750 0.500 1
Be1 Be 0.750 0.250 0.500 1
Ge1 Ge 0.378 0.378 0.000 1
Ge2 Ge 0.622 0.622 0.000 1

***

Entry 3:
# Pu2MnBe3Ge4 | the Alexandria database | PBE-GGA | optimized geometry
# **VASP energy**: -70.01 eV per formula unit
# **N(E_F)**: 18.03 states/eV per cell
# **Space group**: P-4m2 (115)
# **DFT formation energy**: -0.253 eV per atom
# **Magnetization**: 7.61 μB/f.u.
data_Pu2MnBe3Ge4
_symmetry_space_group_name_H-M 'P 1'
_symmetry_Int_Tables_number 1
_symmetry_space_group_name_Hall 'P 1'
_cell_length_a 4.055
_cell_length_b 4.055
_cell_length_c 9.762
_cell_angle_alpha 90.00
_cell_angle_beta 90.00
_cell_angle_gamma 90.00
loop_
_atom_site_label
_atom_site_type_symbol
_atom_site_fract_x
_atom_site_fract_y
_atom_site_fract_z
_atom_site_occupancy
Pu1 Pu 0.000 0.500 0.247 1
Pu2 Pu 0.500 0.000 0.753 1
Mn1 Mn 0.000 0.000 0.500 1
Be1 Be 0.000 0.500 0.872 1
Be2 Be 0.500 0.000 0.128 1
Be3 Be 0.500 0.500 0.500 1
Ge1 Ge 0.000 0.000 0.000 1
Ge2 Ge 0.000 0.500 0.640 1
Ge3 Ge 0.500 0.000 0.360 1
Ge4 Ge 0.500 0.500 0.000 1

***

> Look up the VASP energy of the third one.

-70.01 eV per formula unit